Record 1
Density functional theory data (PBE) for an optimized crystal structure of Pa4Te3Ru.

extended XYZ file:
```
8
Lattice="-0.755 2.555 -3.074 -6.830 -3.084 -0.886 -0.733 5.686 4.907" Properties=species:S:1:pos:R:3 pbc="T T T"
Te -0.366 2.843 2.453
Te -3.415 -1.542 -0.443
Te -4.159 2.579 0.473
Pa -2.515 4.943 2.035
Pa -1.593 0.548 0.847
Pa -5.969 2.054 3.174
Pa -5.803 0.214 -1.088
Ru -0.378 1.278 -1.537
```

Output
Fermi-level density of states: 14.586 states/eV/cell
energy: -7.67 eV per atom
formation energy from raw total energies: -0.589 eV per atom
total moment: 0.009 μB/f.u.

---

Record 2
Density functional theory data (PBE) for an optimized crystal structure of ThSc2Au3.

extended XYZ file:
```
6
Lattice="3.446 0.000 0.000 0.000 3.446 0.000 0.000 0.000 10.859" Properties=species:S:1:pos:R:3 pbc="T T T"
Au 0.000 0.000 7.607
Au 0.000 0.000 3.253
Au 0.000 0.000 0.000
Sc 1.723 1.723 1.680
Sc 1.723 1.723 9.179
Th 1.723 1.723 5.430
```

Output
Fermi-level density of states: 4.779 states/eV/cell
energy: -5.71 eV per atom
total moment: 0.005 μB/f.u.

---

Record 3
Density functional theory data (PBE) for an optimized crystal structure of Er4MgZn.

extended XYZ file:
```
6
Lattice="-3.158 -2.970 2.334 3.564 -1.334 3.125 -1.903 5.614 4.568" Properties=species:S:1:pos:R:3 pbc="T T T"
Mg -1.709 3.449 7.282
Er 1.250 0.861 2.800
Er 0.390 3.398 4.865
Er 0.593 1.245 7.595
Er 1.453 -1.292 5.529
Zn 2.602 1.463 5.395
```

Output
Fermi-level density of states: 7.043 states/eV/cell
energy: -3.30 eV per atom
total moment: 0.000 μB/f.u.

---

Record 4
Density functional theory data (PBE) for an optimized crystal structure of Hf2MgBeAu.

extended XYZ file:
```
5
Lattice="-1.059 -1.516 4.306 -1.329 -3.837 -1.678 4.340 -1.707 0.466" Properties=species:S:1:pos:R:3 pbc="T T T"
Mg 0.976 -3.530 1.547
Be 0.000 0.000 0.000
Hf 2.170 -0.854 0.233
Hf -0.529 -0.758 2.153
Au -0.665 -1.919 -0.839
```

Output
Fermi-level density of states: 2.051 states/eV/cell
energy: -5.54 eV per atom
total moment: 0.000 μB/f.u.

---

Record 5
Density functional theory data (PBE) for an optimized crystal structure of Tb2CuSi3Ir4.

extended XYZ file:
```
10
Lattice="4.111 0.000 0.000 0.000 4.111 0.000 0.000 0.000 10.025" Properties=species:S:1:pos:R:3 pbc="T T T"
Si 2.056 0.000 8.735
Si 0.000 2.056 1.290
Si 0.000 0.000 5.012
Ir 0.000 2.056 3.646
Ir 0.000 0.000 0.000
Ir 2.056 0.000 6.378
Ir 2.056 2.056 0.000
Tb 2.056 0.000 2.546
Tb 0.000 2.056 7.479
Cu 2.056 2.056 5.012
```

Output
Fermi-level density of states: 5.515 states/eV/cell
energy: -7.42 eV per atom
formation energy from raw total energies: -0.912 eV per atom
total moment: 0.000 μB/f.u.

---

Record 6
Density functional theory data (PBE) for an optimized crystal structure of Er2Co17.

extended XYZ file:
```
19
Lattice="-2.497 3.240 4.720 3.586 -2.367 4.533 4.234 4.590 0.101" Properties=species:S:1:pos:R:3 pbc="T T T"
Er 1.831 1.880 3.218
Er 3.491 3.583 6.136
Co -1.249 1.620 2.360
Co 2.284 4.199 1.439
Co 0.589 3.522 5.614
Co -0.735 1.615 4.666
Co 3.973 4.201 3.293
Co 4.046 2.575 1.385
Co 2.117 2.295 0.050
Co 1.823 -0.743 4.587
Co -0.547 3.631 3.382
Co 1.350 1.262 6.061
Co 3.647 0.704 5.520
Co 4.733 1.941 3.740
Co 1.793 -1.184 2.267
Co 4.807 4.934 8.449
Co 3.774 -0.351 3.249
Co 0.515 0.529 0.905
Co 1.676 4.759 3.834
```

Output
Fermi-level density of states: 18.649 states/eV/cell
energy: -6.95 eV per atom
total moment: 25.094 μB/f.u.

---

Record 7
Density functional theory data (PBE) for an optimized crystal structure of LaPb3N.

extended XYZ file:
```
5
Lattice="5.093 0.000 0.000 0.000 5.093 0.000 0.000 0.000 5.093" Properties=species:S:1:pos:R:3 pbc="T T T"
Pb 2.546 0.000 0.000
Pb 0.000 2.546 0.000
Pb 0.000 0.000 2.546
La 2.546 2.546 2.546
N 0.000 0.000 0.000
```

Output
Fermi-level density of states: 3.903 states/eV/cell
energy: -4.63 eV per atom
formation energy from raw total energies: 0.250 eV per atom
total moment: 0.450 μB/f.u.

---

Record 8
Density functional theory data (PBE) for an optimized crystal structure of Ho2TmSc3Te6.

extended XYZ file:
```
12
Lattice="4.240 0.000 0.000 0.000 8.506 0.311 -2.120 -2.446 8.925" Properties=species:S:1:pos:R:3 pbc="T T T"
Tm 2.120 0.000 0.000
Te 0.000 1.841 6.144
Te 2.120 -0.265 8.951
Te 2.120 -0.187 3.022
Te 2.120 4.219 3.092
Te 0.000 6.325 0.285
Te 0.000 6.247 6.214
Sc 2.120 4.253 0.156
Sc 0.000 6.254 3.268
Sc 2.120 -0.194 5.968
Ho 2.120 4.036 6.129
Ho 0.000 2.024 3.106
```

Output
Fermi-level density of states: 7.605 states/eV/cell
energy: -5.45 eV per atom
formation energy from raw total energies: -1.160 eV per atom
total moment: 0.000 μB/f.u.

---

- energy of number 1 (Pa4Te3Ru)?
  -7.67 eV per atom

---

- Which value of Fermi-level density of states does entry 6 give?
  18.649 states/eV/cell

---

- Which value of total moment does entry 4 give?
  0.000 μB/f.u.